No. 1
An optimized crystal structure of LiFeNiB. Source: the Open Quantum Materials Database, functional GGA-PBE.

Properties
Final energy ... -5.40 eV per atom
E above lowest polymorph ... 0.156 eV per atom

abc: 5.336 5.336 5.336
angles: 90.00 90.00 90.00
Space group F-43m (No. 216)
Asymmetric unit:
Li1 0.000 0.000 0.000 x4
Fe1 0.000 0.000 0.500 x4
Ni1 0.250 0.250 0.250 x4
B1 0.250 0.250 0.750 x4

***

No. 2
An optimized crystal structure of LiFeBOs. Source: the Open Quantum Materials Database, functional GGA-PBE.

Properties
Final energy ... -6.74 eV per atom
E above lowest polymorph ... 0.000 eV per atom

abc: 5.426 5.426 5.426
angles: 90.00 90.00 90.00
Space group F-43m (No. 216)
Asymmetric unit:
Li1 0.000 0.000 0.000 x4
Fe1 0.250 0.250 0.750 x4
B1 0.000 0.000 0.500 x4
Os1 0.250 0.250 0.250 x4

***

No. 3
An optimized crystal structure of LiFeBOs. Source: the Open Quantum Materials Database, functional GGA-PBE.

Properties
Final energy ... -6.59 eV per atom
E above lowest polymorph ... 0.149 eV per atom

abc: 5.460 5.460 5.460
angles: 90.00 90.00 90.00
Space group F-43m (No. 216)
Asymmetric unit:
Li1 0.000 0.000 0.000 x4
Fe1 0.000 0.000 0.500 x4
B1 0.250 0.250 0.250 x4
Os1 0.250 0.250 0.750 x4

***

No. 4
An optimized crystal structure of LiFeBPt. Source: the Open Quantum Materials Database, functional GGA-PBE.

Properties
Final energy ... -5.76 eV per atom
E above lowest polymorph ... 0.000 eV per atom

abc: 5.445 5.445 5.445
angles: 90.00 90.00 90.00
Space group F-43m (No. 216)
Asymmetric unit:
Li1 0.000 0.000 0.000 x4
Fe1 0.250 0.250 0.750 x4
B1 0.000 0.000 0.500 x4
Pt1 0.250 0.250 0.250 x4

***

No. 5
An optimized crystal structure of LiFeBPt. Source: the Open Quantum Materials Database, functional GGA-PBE.

Properties
Final energy ... -5.48 eV per atom
E above lowest polymorph ... 0.279 eV per atom

abc: 5.658 5.658 5.658
angles: 90.00 90.00 90.00
Space group F-43m (No. 216)
Asymmetric unit:
Li1 0.000 0.000 0.000 x4
Fe1 0.000 0.000 0.500 x4
B1 0.250 0.250 0.250 x4
Pt1 0.250 0.250 0.750 x4

***

No. 6
An optimized crystal structure of LiScFeB. Source: the Open Quantum Materials Database, functional GGA-PBE.

Properties
Final energy ... -5.49 eV per atom
E above lowest polymorph ... 0.193 eV per atom

abc: 5.677 5.677 5.677
angles: 90.00 90.00 90.00
Space group F-43m (No. 216)
Asymmetric unit:
Li1 0.000 0.000 0.000 x4
Sc1 0.250 0.250 0.250 x4
Fe1 0.000 0.000 0.500 x4
B1 0.250 0.250 0.750 x4

***

No. 7
An optimized crystal structure of LiScFeB. Source: the Open Quantum Materials Database, functional GGA-PBE.

Properties
Final energy ... -5.37 eV per atom
E above lowest polymorph ... 0.320 eV per atom

abc: 5.805 5.805 5.805
angles: 90.00 90.00 90.00
Space group F-43m (No. 216)
Asymmetric unit:
Li1 0.000 0.000 0.000 x4
Sc1 0.000 0.000 0.500 x4
Fe1 0.250 0.250 0.750 x4
B1 0.250 0.250 0.250 x4

***

No. 8
An optimized crystal structure of LiScFeB. Source: the Open Quantum Materials Database, functional GGA-PBE.

Properties
Final energy ... -5.69 eV per atom
E above lowest polymorph ... 0.000 eV per atom

abc: 5.662 5.662 5.662
angles: 90.00 90.00 90.00
Space group F-43m (No. 216)
Asymmetric unit:
Li1 0.000 0.000 0.000 x4
Sc1 0.250 0.250 0.750 x4
Fe1 0.250 0.250 0.250 x4
B1 0.000 0.000 0.500 x4

***

No. 9
An optimized crystal structure of LiTaFeB. Source: the Open Quantum Materials Database, functional GGA-PBE.

Properties
Final energy ... -6.96 eV per atom
E above lowest polymorph ... 0.000 eV per atom

abc: 5.593 5.593 5.593
angles: 90.00 90.00 90.00
Space group F-43m (No. 216)
Asymmetric unit:
Li1 0.000 0.000 0.000 x4
Ta1 0.250 0.250 0.750 x4
Fe1 0.000 0.000 0.500 x4
B1 0.250 0.250 0.250 x4

***

No. 10
An optimized crystal structure of LiTaFeB. Source: the Open Quantum Materials Database, functional GGA-PBE.

Properties
Final energy ... -6.94 eV per atom
E above lowest polymorph ... 0.021 eV per atom

abc: 5.531 5.531 5.531
angles: 90.00 90.00 90.00
Space group F-43m (No. 216)
Asymmetric unit:
Li1 0.000 0.000 0.000 x4
Ta1 0.250 0.250 0.250 x4
Fe1 0.250 0.250 0.750 x4
B1 0.000 0.000 0.500 x4

***

No. 11
An optimized crystal structure of LiFeBW. Source: the Open Quantum Materials Database, functional GGA-PBE.

Properties
Final energy ... -7.16 eV per atom
E above lowest polymorph ... 0.071 eV per atom

abc: 5.563 5.563 5.563
angles: 90.00 90.00 90.00
Space group F-43m (No. 216)
Asymmetric unit:
Li1 0.000 0.000 0.000 x4
Fe1 0.250 0.250 0.250 x4
B1 0.250 0.250 0.750 x4
W1 0.000 0.000 0.500 x4

***

No. 12
An optimized crystal structure of LiFeBW. Source: the Open Quantum Materials Database, functional GGA-PBE.

Properties
Final energy ... -6.98 eV per atom
E above lowest polymorph ... 0.253 eV per atom

abc: 5.453 5.453 5.453
angles: 90.00 90.00 90.00
Space group F-43m (No. 216)
Asymmetric unit:
Li1 0.000 0.000 0.000 x4
Fe1 0.250 0.250 0.250 x4
B1 0.000 0.000 0.500 x4
W1 0.250 0.250 0.750 x4